Compound: LaZnIn
Source: Alexandria via LeMat-Bulk
Functional: PBE
Structure: relaxed

CIF file:
```
data_LaZnIn
_chemical_formula_sum 'La6 Zn6 In6'
_symmetry_space_group_name_H-M 'P 1'
_symmetry_Int_Tables_number 1
_cell_length_a 4.307
_cell_length_b 7.654
_cell_length_c 14.001
_cell_angle_alpha 90.00
_cell_angle_beta 90.00
_cell_angle_gamma 90.00
loop_
_symmetry_equiv_pos_as_xyz
'x,y,z'
loop_
_atom_site_label
_atom_site_fract_x
_atom_site_fract_y
_atom_site_fract_z
In1 0.500 0.585 0.635
In2 0.500 0.793 0.250
In3 0.500 0.207 0.750
In4 0.500 0.415 0.365
In5 0.500 0.415 0.135
In6 0.500 0.585 0.865
La1 0.000 0.264 0.957
La2 0.000 0.736 0.043
La3 0.000 0.264 0.543
La4 0.000 0.736 0.457
La5 0.000 0.868 0.750
La6 0.000 0.132 0.250
Zn1 0.500 0.956 0.588
Zn2 0.000 0.549 0.250
Zn3 0.500 0.044 0.088
Zn4 0.500 0.044 0.412
Zn5 0.500 0.956 0.912
Zn6 0.000 0.451 0.750
```

E_form: -0.431 eV/atom
electronic total energy: -10.23 eV per formula unit
V: 462 Å³/cell